Below is an optimized crystal structure of LiCrPO4, with properties calculated at the GGA+U level.

Cell lengths 5.725, 7.869, 14.080 Å; angles 90.00, 90.00, 90.00 degrees
Each line ends with the local moment (μB).
Atoms (fractional coordinates):
O 0.852 0.417 0.236  0.01
P 0.900 0.466 0.131  0.01
P 0.600 0.966 0.131  0.01
O 0.163 0.006 0.921  -0.01
O 0.541 0.319 0.418  -0.01
O 0.648 0.917 0.236  0.01
Li 0.087 0.683 0.531  0.00
O 0.959 0.681 0.918  -0.01
P 0.400 0.034 0.869  0.01
O 0.648 0.583 0.736  0.01
O 0.959 0.819 0.418  -0.01
Li 0.913 0.317 0.469  0.00
O 0.148 0.583 0.764  0.01
P 0.100 0.966 0.369  0.01
O 0.337 0.506 0.921  -0.01
O 0.451 0.369 0.629  0.00
O 0.951 0.131 0.371  0.00
O 0.549 0.869 0.871  0.00
O 0.663 0.494 0.079  -0.01
Li 0.413 0.183 0.531  0.00
Li 0.587 0.683 0.969  0.00
Cr 0.597 0.114 0.330  3.80
O 0.837 0.506 0.579  -0.01
O 0.852 0.083 0.736  0.01
O 0.541 0.181 0.918  -0.01
Cr 0.403 0.886 0.670  3.80
Cr 0.097 0.386 0.670  3.80
Li 0.587 0.817 0.469  0.00
Cr 0.403 0.614 0.170  3.80
O 0.837 0.994 0.079  -0.01
Cr 0.903 0.614 0.330  3.80
O 0.459 0.819 0.082  -0.01
O 0.041 0.181 0.582  -0.01
O 0.352 0.417 0.264  0.01
O 0.459 0.681 0.582  -0.01
O 0.549 0.631 0.371  0.00
Cr 0.097 0.114 0.170  3.80
Cr 0.903 0.886 0.830  3.80
O 0.337 0.994 0.421  -0.01
O 0.352 0.083 0.764  0.01
O 0.163 0.494 0.421  -0.01
Li 0.413 0.317 0.031  0.00
P 0.900 0.034 0.631  0.01
O 0.663 0.006 0.579  -0.01
Li 0.913 0.183 0.969  0.00
Li 0.087 0.817 0.031  0.00
Cr 0.597 0.386 0.830  3.80
P 0.600 0.534 0.631  0.01
P 0.400 0.466 0.369  0.01
O 0.041 0.319 0.082  -0.01
O 0.049 0.631 0.129  0.00
O 0.148 0.917 0.264  0.01
O 0.951 0.369 0.871  0.00
O 0.451 0.131 0.129  0.00
O 0.049 0.869 0.629  0.00
P 0.100 0.534 0.869  0.01

Results
crystal system: orthorhombic
ΔE to the lowest computed polymorph: 0.41 eV/f.u.
DOS(E_F): 0.0 states/eV/f.u.
SG: Pbca (61)
VASP energy: -396.146 eV/cell